# CaEuYVO6

A relaxed structure of CaEuYVO6 (PBE with a Hubbard U, the Alexandria database).

Lattice parameters (Å, degrees): 5.770 5.770 5.770 60.00 60.00 60.00
Fractional coordinates of all 10 atoms:
Ca 0.000 0.000 0.000
Eu 0.500 0.500 0.500
Y 0.750 0.750 0.750
V 0.250 0.250 0.250
O 0.018 0.018 0.482
O 0.018 0.482 0.018
O 0.018 0.482 0.482
O 0.482 0.018 0.018
O 0.482 0.018 0.482
O 0.482 0.482 0.018

V   136 Å³ per cell
Magnetic moment   7.0 μB per formula unit
SG   F-43m
Total energy   -82.54 eV for the cell shown